# NaHg2Cl (GGA-PBE, optimized geometry)
# VASP energy in eV per atom: -1.552
# Formation energy (no corrections) in kJ per mole of atoms: -58.9
# DOS at the Fermi energy in states/eV/atom: 0.000
data_NaHg2Cl
_symmetry_space_group_name_H-M 'I -4 2 d'
_symmetry_Int_Tables_number 122
_symmetry_space_group_name_Hall 'I -4 2bw'
_cell_length_a 9.274
_cell_length_b 9.274
_cell_length_c 5.772
_cell_angle_alpha 90.00
_cell_angle_beta 90.00
_cell_angle_gamma 90.00
loop_
_atom_site_label
_atom_site_type_symbol
_atom_site_fract_x
_atom_site_fract_y
_atom_site_fract_z
Na1 Na 0.000 0.000 0.000
Hg1 Hg 0.229 0.250 0.125
Cl1 Cl 0.000 0.000 0.500


# Ti3AlH (GGA-PBE, optimized geometry)
# VASP energy in eV per atom: -6.499
# DOS at the Fermi energy in states/eV/atom: 0.632
data_Ti3AlH
_symmetry_space_group_name_H-M 'C m c m'
_symmetry_Int_Tables_number 63
_symmetry_space_group_name_Hall '-C 2c 2'
_cell_length_a 5.589
_cell_length_b 8.750
_cell_length_c 5.578
_cell_angle_alpha 90.00
_cell_angle_beta 90.00
_cell_angle_gamma 90.00
loop_
_atom_site_label
_atom_site_type_symbol
_atom_site_fract_x
_atom_site_fract_y
_atom_site_fract_z
Ti1 Ti 0.000 0.244 0.250
Ti2 Ti 0.244 0.000 0.000
Al1 Al 0.000 0.245 0.750
H1 H 0.000 0.460 0.250


# Hf4AlPd (GGA-PBE, optimized geometry)
# VASP energy in eV per atom: -8.175
# DOS at the Fermi energy in states/eV/atom: 1.007
# DFT formation energy in eV per atom: -0.05
data_Hf4AlPd
_symmetry_space_group_name_H-M 'C m c m'
_symmetry_Int_Tables_number 63
_symmetry_space_group_name_Hall '-C 2c 2'
_cell_length_a 4.966
_cell_length_b 18.774
_cell_length_c 5.792
_cell_angle_alpha 90.00
_cell_angle_beta 90.00
_cell_angle_gamma 90.00
loop_
_atom_site_label
_atom_site_type_symbol
_atom_site_fract_x
_atom_site_fract_y
_atom_site_fract_z
Hf1 Hf 0.000 0.063 0.250
Hf2 Hf 0.000 0.206 0.006
Hf3 Hf 0.000 0.369 0.250
Al1 Al 0.000 0.344 0.750
Pd1 Pd 0.000 0.076 0.750


# YBe2W (GGA-PBE, optimized geometry)
# VASP energy in eV per atom: -6.295
# DOS at the Fermi energy in states/eV/atom: 0.837
# DFT formation energy in eV per atom: 0.42
data_YBe2W
_symmetry_space_group_name_H-M 'F m -3 m'
_symmetry_Int_Tables_number 225
_symmetry_space_group_name_Hall '-F 4 2 3'
_cell_length_a 6.253
_cell_length_b 6.253
_cell_length_c 6.253
_cell_angle_alpha 90.00
_cell_angle_beta 90.00
_cell_angle_gamma 90.00
loop_
_atom_site_label
_atom_site_type_symbol
_atom_site_fract_x
_atom_site_fract_y
_atom_site_fract_z
Y1 Y 0.000 0.000 0.000
Be1 Be 0.250 0.250 0.250
W1 W 0.000 0.000 0.500